Entry 1:
Density functional theory data (GGA-PBE) for a relaxed LaTbNd4Tm2 crystal.

Calculated values
**Volume**: 270.25 Å³ per cell
**DFT total energy**: -4.67 eV/atom
**Formation energy from the elements**: 0.022 eV/atom
**DOS at the Fermi energy**: 12.023 states/eV/f.u.

Cell: 5.1431 6.2727 9.5982 Å, 89.57 74.46 65.80°
With the nearest neighbours (Å) after each atom.
Atoms (fractional coordinates):
Nd1 0.8757 0.8757 0.3730  1 Tb 3.60, 4 Tm 3.61-3.67, 3 La 3.63, 4 Nd 3.63-3.66
Nd2 0.1243 0.1243 0.6270  1 Tb 3.60, 4 Tm 3.61-3.67, 3 La 3.63, 4 Nd 3.63-3.66
Nd3 0.6254 0.6255 0.1238  4 Tm 3.58-3.63, 3 Tb 3.62-3.63, 4 Nd 3.63, 1 La 3.63
La1 0.5000 0.5000 0.5000  8 Nd 3.63, 4 Tm 3.66
Nd4 0.3746 0.3745 0.8762  4 Tm 3.58-3.63, 3 Tb 3.62-3.63, 4 Nd 3.63, 1 La 3.63
Tb1 0.0000 0.0000 0.0000  8 Nd 3.60-3.63, 4 Tm 3.61
Tm1 0.2532 0.2469 0.2467  8 Nd 3.58-3.67, 2 Tb 3.61, 2 La 3.66
Tm2 0.7468 0.7531 0.7533  8 Nd 3.58-3.67, 2 Tb 3.61, 2 La 3.66

Entry 2:
Density functional theory data (GGA-PBE) for a relaxed CsNaLiSc2 crystal.

Calculated values
**Volume**: 174.37 Å³ per cell
**DFT total energy**: -2.00 eV/atom
**Formation energy from the elements**: 1.353 eV/atom
**DOS at the Fermi energy**: 6.405 states/eV/f.u.

Cell: 5.4728 5.8219 5.4728 Å, 90.00 90.00 90.00°
With the nearest neighbours (Å) after each atom.
Atoms (fractional coordinates):
Li1 0.5000 0.5000 0.5000  4 Na 3.87, 8 Sc 4.00
Sc1 0.0000 0.0000 0.5000  2 Cs 2.74
Cs1 0.0000 0.0000 0.0000  4 Sc 2.74, 2 Na 2.91
Sc2 0.5000 0.0000 0.0000  2 Cs 2.74
Na1 0.0000 0.5000 0.0000  2 Cs 2.91

Entry 3:
Density functional theory data (GGA-PBE) for a relaxed LaPbIN2 crystal.

Calculated values
**Volume**: 120.97 Å³ per cell
**E_form (uncorrected)**: 4.263 eV/f.u.
**DFT total energy**: -4.51 eV/atom
**Relative energy among the computed polymorphs**: 350 meV/atom
**DOS at the Fermi energy**: 3.187 states/eV/f.u.

Cell: 4.5554 4.5554 5.8296 Å, 90.00 90.00 90.00°
With the nearest neighbours (Å) after each atom.
Atoms (fractional coordinates):
La1 0.5000 0.5000 0.5000  4 I 3.22
N1 0.5000 0.0000 0.0000  2 Pb 2.28
N2 0.0000 0.5000 0.0000  2 Pb 2.28
I1 0.0000 0.0000 0.5000  2 Pb 2.91, 4 La 3.22
Pb1 0.0000 0.0000 0.0000  4 N 2.28

Entry 4:
Density functional theory data (GGA-PBE) for a relaxed Pm4ScIn4 crystal.

Calculated values
**Volume**: 512.37 Å³ per cell
**DFT total energy**: -4.34 eV/atom
**Formation energy from the elements**: -0.310 eV/atom
**DOS at the Fermi energy**: 6.889 states/eV/f.u.

Cell: 6.2444 9.0583 9.0583 Å, 90.00 90.00 90.00°
With the nearest neighbours (Å) after each atom.
Atoms (fractional coordinates):
In1 0.8715 0.5923 0.3041  1 Sc 3.04, 3 In 3.20-3.38, 3 Pm 3.23-3.37
Sc1 0.0000 0.0000 0.0000  4 In 3.04, 4 Pm 3.11
Pm1 0.1348 0.0707 0.6768  1 Sc 3.11, 5 In 3.23-3.48, 1 Pm 3.45
Pm2 0.3652 0.5707 0.1768  1 Sc 3.11, 5 In 3.23-3.48, 1 Pm 3.45
Sc2 0.5000 0.5000 0.5000  4 In 3.04, 4 Pm 3.11
In2 0.1285 0.6959 0.5923  1 Sc 3.04, 3 In 3.20-3.38, 3 Pm 3.23-3.37
Pm3 0.6348 0.1768 0.4293  1 Sc 3.11, 5 In 3.23-3.48, 1 Pm 3.45
In3 0.1285 0.3041 0.4077  1 Sc 3.04, 3 In 3.20-3.38, 3 Pm 3.23-3.37
In4 0.3715 0.8041 0.9077  1 Sc 3.04, 3 In 3.20-3.38, 3 Pm 3.23-3.37
Pm4 0.3652 0.4293 0.8232  1 Sc 3.11, 5 In 3.23-3.48, 1 Pm 3.45
Pm5 0.8652 0.6768 0.9293  1 Sc 3.11, 5 In 3.23-3.48, 1 Pm 3.45
Pm6 0.6348 0.8232 0.5707  1 Sc 3.11, 5 In 3.23-3.48, 1 Pm 3.45
Pm7 0.8652 0.3232 0.0707  1 Sc 3.11, 5 In 3.23-3.48, 1 Pm 3.45
In5 0.6285 0.9077 0.1959  1 Sc 3.04, 3 In 3.20-3.38, 3 Pm 3.23-3.37
In6 0.8715 0.4077 0.6959  1 Sc 3.04, 3 In 3.20-3.38, 3 Pm 3.23-3.37
Pm8 0.1348 0.9293 0.3232  1 Sc 3.11, 5 In 3.23-3.48, 1 Pm 3.45
In7 0.3715 0.1959 0.0923  1 Sc 3.04, 3 In 3.20-3.38, 3 Pm 3.23-3.37
In8 0.6285 0.0923 0.8041  1 Sc 3.04, 3 In 3.20-3.38, 3 Pm 3.23-3.37

Entry 5:
Density functional theory data (GGA-PBE) for a relaxed K2CrCo crystal.

Calculated values
**Volume**: 114.89 Å³ per cell
**DFT total energy**: -3.42 eV/atom
**Relative energy among the computed polymorphs**: 528 meV/atom
**Formation energy from the elements**: 1.309 eV/atom
**DOS at the Fermi energy**: 3.454 states/eV/f.u.

Cell: 3.2479 3.2479 10.8913 Å, 90.00 90.00 90.01°
With the nearest neighbours (Å) after each atom.
Atoms (fractional coordinates):
K1 0.0000 0.0000 0.0230  4 K 3.25, 4 Co 3.37
Co1 0.5000 0.5000 0.2500  4 Co 3.25, 8 K 3.37
K2 0.0000 0.0000 0.4770  4 K 3.25, 4 Co 3.37
Cr1 0.5000 0.5000 0.7500  4 Cr 3.25

Entry 6:
Density functional theory data (GGA-PBE) for a relaxed LiHfB crystal.

Calculated values
**Volume**: 77.52 Å³ per cell
**DFT total energy**: -6.23 eV/atom
**Relative energy among the computed polymorphs**: 309 meV/atom
**Formation energy from the elements**: -0.047 eV/atom
**DOS at the Fermi energy**: 1.122 states/eV/f.u.

Cell: 3.4541 5.1050 5.3689 Å, 61.61 71.24 90.00°
With the nearest neighbours (Å) after each atom.
Atoms (fractional coordinates):
Li1 0.5000 0.7121 0.0000  1 Li 2.17, 4 B 2.23
Li2 0.5000 0.2879 0.0000  1 Li 2.17, 4 B 2.23
Hf1 0.1954 0.1954 0.6093  4 B 2.48-2.68
B1 0.8980 0.3980 0.2041  1 B 1.79
B2 0.1020 0.6020 0.7959  1 B 1.79
Hf2 0.8046 0.8046 0.3907  4 B 2.48-2.68

Entry 7:
Density functional theory data (GGA-PBE) for a relaxed Ac3TbZn4 crystal.

Calculated values
**Volume**: 224.29 Å³ per cell
**DFT total energy**: -3.01 eV/atom
**Formation energy from the elements**: -0.251 eV/atom
**DOS at the Fermi energy**: 9.336 states/eV/f.u.

Cell: 3.8285 3.8285 15.3018 Å, 90.00 90.00 90.00°
With the nearest neighbours (Å) after each atom.
Atoms (fractional coordinates):
Tb1 0.5000 0.5000 0.0000  8 Zn 3.12
Zn1 0.0000 0.0000 0.1009  1 Zn 3.09, 4 Tb 3.12, 4 Ac 3.43
Ac1 0.5000 0.5000 0.2388  8 Zn 3.38-3.43, 1 Tb 3.65
Ac2 0.5000 0.5000 0.7612  8 Zn 3.38-3.43, 1 Tb 3.65
Zn2 0.0000 0.0000 0.3710  8 Ac 3.35-3.38
Zn3 0.0000 0.0000 0.8991  1 Zn 3.09, 4 Tb 3.12, 4 Ac 3.43
Ac3 0.5000 0.5000 0.5000  8 Zn 3.35
Zn4 0.0000 0.0000 0.6290  8 Ac 3.35-3.38

Entry 8:
Density functional theory data (GGA-PBE) for a relaxed TbMgGa2 crystal.

Calculated values
**Volume**: 82.71 Å³ per cell
**DFT total energy**: -3.53 eV/atom
**Formation energy from the elements**: -0.465 eV/atom
**DOS at the Fermi energy**: 1.901 states/eV/f.u.

Cell: 4.2158 4.4293 4.4293 Å, 90.00 90.00 90.00°
With the nearest neighbours (Å) after each atom.
Atoms (fractional coordinates):
Ga1 0.0000 0.5000 0.0000  4 Tb 3.06, 4 Mg 3.06, 4 Ga 3.13
Tb1 0.5000 0.5000 0.5000  8 Ga 3.06, 4 Mg 3.13
Ga2 0.0000 0.0000 0.5000  4 Tb 3.06, 4 Mg 3.06, 4 Ga 3.13
Mg1 0.5000 0.0000 0.0000  8 Ga 3.06, 4 Tb 3.13

> Which of these has the lowest volume?

LiHfB

> Which of these has the highest DOS at the Fermi energy?

LaTbNd4Tm2